Material: RbBaScF6
Method: DFT, GGA-PBE
State: optimized geometry

Summary:
For the theoretical density, the calculation gives 3.50 g/cm3. For the formation energy (no corrections), the calculation gives -3.669 eV per atom.

a b c (Å): 7.904 7.904 7.904
angles (deg): 119.57 114.74 95.05
Fractional coordinates of all 18 atoms:
Rb  0.343  0.093  0.250
Rb  0.657  0.907  0.750
Ba  0.000  0.500  0.500
Ba  0.500  0.500  0.000
Sc  0.000  0.000  0.500
Sc  0.000  0.500  0.000
F  0.035  0.331  0.127
F  0.035  0.907  0.703
F  0.063  0.313  0.750
F  0.296  0.093  0.627
F  0.296  0.669  0.203
F  0.384  0.634  0.750
F  0.616  0.366  0.250
F  0.704  0.331  0.797
F  0.704  0.907  0.373
F  0.937  0.687  0.250
F  0.965  0.093  0.297
F  0.965  0.669  0.873